{"formula": "ScInCo2", "functional": "PBE-GGA", "state": "relaxed", "n_ef_per_ev_fu": 4.1, "formation_energy_ev_per_fu": 1.6, "mass_density_g_cm3": 6.47, "sg": "No. 122", "dft_energy_ev_per_atom": -5.413, "lattice": [[-3.1921, -1.8074, -1.8319], [2.4728, -2.9623, -1.3863], [-1.8325, -6.9004, 5.4126]], "species": ["In", "Co", "Sc", "Co", "Co", "Sc", "Co", "In"], "frac_coords": [[0.0000, 0.0000, 0.0000], [0.5489, 0.1250, 0.2500], [0.2500, 0.7500, 0.5000], [0.8750, 0.7989, 0.7500], [0.3750, 0.4511, 0.7500], [0.5000, 0.5000, 0.0000], [0.2011, 0.6250, 0.2500], [0.7500, 0.2500, 0.5000]]}

---

{"formula": "Sc11In9Co4", "functional": "PBE-GGA", "state": "relaxed", "n_ef_per_ev_fu": 14.7, "formation_energy_ev_per_fu": -10.9, "mass_density_g_cm3": 6.06, "sg": "No. 65", "dft_energy_ev_per_atom": -5.569, "lattice": [[3.3855, 0.0000, 0.0000], [0.0000, 11.4555, -4.8015], [0.0000, 0.0866, 12.4207]], "species": ["Co", "In", "In", "Sc", "In", "Sc", "Sc", "Sc", "Co", "In", "Co", "Sc", "Sc", "Sc", "In", "In", "Sc", "Sc", "In", "In", "Sc", "Co", "Sc", "In"], "frac_coords": [[0.5000, 0.5483, 0.7515], [0.5000, 0.8467, 0.3677], [0.5000, 0.9239, 0.7795], [0.0000, 0.9146, 0.5807], [0.5000, 0.6323, 0.1533], [0.0000, 0.0000, 0.0000], [0.0000, 0.6262, 0.3738], [0.0000, 0.1579, 0.8421], [0.5000, 0.7515, 0.5483], [0.5000, 0.3677, 0.8467], [0.5000, 0.4517, 0.2485], [0.0000, 0.0854, 0.4193], [0.0000, 0.6861, 0.6861], [0.0000, 0.4193, 0.0854], [0.5000, 0.1533, 0.6323], [0.5000, 0.0761, 0.2205], [0.0000, 0.5807, 0.9146], [0.0000, 0.3738, 0.6262], [0.5000, 0.7795, 0.9239], [0.5000, 0.2205, 0.0761], [0.0000, 0.3139, 0.3139], [0.5000, 0.2485, 0.4517], [0.0000, 0.8421, 0.1579], [0.5000, 0.5000, 0.5000]]}